(1)
SrCaO2 | PBE | relaxed

Calculated values
Total moment: 0.00 μB per formula unit
Energy: -74.6 eV/cell
ΔE_f (raw): -2819 meV per atom
Distance to the lowest polymorph of the same formula: 0 meV per atom

Unit cell a=3.5504 b=3.5504 c=17.4313 alpha=90.00 beta=90.00 gamma=120.00
Space group R-3m (No. 166, hexagonal axes)
Symmetry-distinct sites (fractional):
1 Sr 0.0000 0.0000 0.0000 (multiplicity 3)
2 Ca 0.0000 0.0000 0.5000 (multiplicity 3)
3 O 0.0000 0.0000 0.2453 (multiplicity 6)

---

(2)
SrCaO2 | PBE | relaxed

Calculated values
Total moment: 0.00 μB per formula unit
Energy: -99.4 eV/cell
ΔE_f (raw): -2814 meV per atom
Distance to the lowest polymorph of the same formula: 5 meV per atom

Unit cell a=5.0461 b=5.0461 c=10.0115 alpha=90.00 beta=90.00 gamma=90.00
Space group I4_1/amd (No. 141, origin choice 2)
Symmetry-distinct sites (fractional):
1 Sr 0.0000 0.2500 0.3750 (multiplicity 4)
2 Ca 0.0000 0.2500 0.8750 (multiplicity 4)
3 O 0.0000 0.2500 0.1152 (multiplicity 8)

---

(3)
Sr2CaO | PBE | relaxed

Calculated values
Total moment: 0.00 μB per formula unit
Energy: -60.9 eV/cell
ΔE_f (raw): -1222 meV per atom

Unit cell a=7.7305 b=7.7305 c=10.8161 alpha=90.00 beta=90.00 gamma=90.00
Space group I-42d (No. 122)
Symmetry-distinct sites (fractional):
1 Sr 0.0384 0.2500 0.1250 (multiplicity 8)
2 Ca 0.0000 0.0000 0.5000 (multiplicity 4)
3 O 0.0000 0.0000 0.0000 (multiplicity 4)

---

(4)
SrCaO | PBE | relaxed

Calculated values
Total moment: 0.00 μB per formula unit
Energy: -53.6 eV/cell
ΔE_f (raw): -1590 meV per atom

Unit cell a=3.5037 b=7.3574 c=13.6671 alpha=90.00 beta=90.00 gamma=90.00
Space group Fmm2 (No. 42)
Symmetry-distinct sites (fractional):
1 Sr 0.0000 0.0000 0.0000 (multiplicity 4)
2 Ca 0.0000 0.0000 0.2345 (multiplicity 4)
3 O 0.0000 0.0000 0.6265 (multiplicity 4)

---

(5)
Sr2CaTaO | PBE | relaxed

Calculated values
Total moment: 3.03 μB per formula unit
Energy: -19.8 eV/cell
ΔE_f (raw): 468 meV per atom

Unit cell a=6.6144 b=6.6144 c=4.0290 alpha=90.00 beta=90.00 gamma=90.00
Space group P4/mmm (No. 123)
Symmetry-distinct sites (fractional):
1 Sr 0.0000 0.5000 0.0000 (multiplicity 2)
2 Ca 0.0000 0.0000 0.0000 (multiplicity 1)
3 Ta 0.5000 0.5000 0.5000 (multiplicity 1)
4 O 0.0000 0.0000 0.5000 (multiplicity 1)

---

(6)
SrCaTbTiO6 | PBE | relaxed

Calculated values
Total moment: 0.91 μB per formula unit
Energy: -296.5 eV/cell
ΔE_f (raw): -2818 meV per atom

Unit cell a=8.3158 b=8.3158 c=8.3158 alpha=90.00 beta=90.00 gamma=90.00
Space group F-43m (No. 216)
Symmetry-distinct sites (fractional):
1 Sr 0.0000 0.0000 0.0000 (multiplicity 4)
2 Ca 0.0000 0.0000 0.5000 (multiplicity 4)
3 Tb 0.2500 0.2500 0.7500 (multiplicity 4)
4 Ti 0.2500 0.2500 0.2500 (multiplicity 4)
5 O 0.0155 0.2500 0.2500 (multiplicity 24)

---

(7)
SrCaTcO6 | PBE | relaxed

Calculated values
Total moment: 1.03 μB per formula unit
Energy: -61.0 eV/cell
ΔE_f (raw): -1914 meV per atom

Unit cell a=5.1467 b=5.5466 c=5.7051 alpha=61.19 beta=89.95 gamma=88.31
Space group P1 (No. 1)
Symmetry-distinct sites (fractional):
1 Sr 0.0000 0.0000 0.0000 (multiplicity 1)
2 Ca 0.5073 0.3345 0.3415 (multiplicity 1)
3 Tc 0.4781 0.6487 0.7047 (multiplicity 1)
4 O 0.2597 0.4110 0.9509 (multiplicity 1)
5 O 0.2877 0.9633 0.6544 (multiplicity 1)
6 O 0.3227 0.7078 0.3697 (multiplicity 1)
7 O 0.6842 0.3738 0.6862 (multiplicity 1)
8 O 0.6986 0.9311 0.3774 (multiplicity 1)
9 O 0.7093 0.6725 0.9341 (multiplicity 1)

---

(8)
Sr2CaTcO | PBE | relaxed

Calculated values
Total moment: 0.00 μB per formula unit
Energy: -18.1 eV/cell
ΔE_f (raw): 523 meV per atom
Distance to the lowest polymorph of the same formula: 126 meV per atom

Unit cell a=5.5206 b=5.5206 c=5.1806 alpha=90.00 beta=90.00 gamma=90.00
Space group P4/mmm (No. 123)
Symmetry-distinct sites (fractional):
1 Sr 0.0000 0.5000 0.0000 (multiplicity 2)
2 Ca 0.0000 0.0000 0.5000 (multiplicity 1)
3 Tc 0.0000 0.0000 0.0000 (multiplicity 1)
4 O 0.5000 0.5000 0.5000 (multiplicity 1)